# PBE+U CaPaMn2O6, relaxed
# - calculated volume (Å³/f.u.) = 126.8
# - VASP energy (eV/atom) = -8.071
data_CaPaMn2O6
_cell_length_a 5.5863
_cell_length_b 5.5863
_cell_length_c 14.0748
_cell_angle_alpha 90.00
_cell_angle_beta 90.00
_cell_angle_gamma 120.00
_symmetry_space_group_name_H-M 'R 3'
_symmetry_Int_Tables_number 146
_symmetry_space_group_name_Hall 'R 3'
loop_
_atom_site_label
_atom_site_type_symbol
_atom_site_fract_x
_atom_site_fract_y
_atom_site_fract_z
Ca1 Ca 0.0000 0.0000 0.0000
Pa1 Pa 0.0000 0.0000 0.4932
Mn1 Mn 0.0000 0.0000 0.2881
Mn2 Mn 0.0000 0.0000 0.7784
O1 O 0.0374 0.6259 0.0456
O2 O 0.0396 0.3406 0.8801